Entry 1:
VASP calculation (GGA-PBE) on an optimized crystal structure of PmPrTh2.

POSCAR file:
```
PmPrTh2
1.0
-7.4311 -12.5881 1.8539
11.8036 8.5746 -2.0663
0.3586 0.3281 3.5306
Pm Pr Th
2 2 4
direct
0.3541 0.6459 0.2500
0.6459 0.3541 0.7500
0.5000 0.0000 0.5000
0.0000 0.5000 0.0000
0.1960 0.2978 0.5285
0.8040 0.7022 0.4715
0.7022 0.8040 0.9715
0.2978 0.1960 0.0285
```

Summary:
- M_tot: 0.000 μB per atom
- Volume: 38.18 Å³ per atom
- Symmetry: C2/c (15)
- E_form: 0.4797 eV per atom
- Calculated density: 8156 kg/m³
- DOS at the Fermi energy: 7.873 states/eV/f.u.

Entry 2:
VASP calculation (GGA-PBE) on an optimized crystal structure of Pm7Pr12Th.

POSCAR file:
```
Pm7Pr12Th
1.0
-6.8727 2.2864 -7.1038
-0.5283 -9.8998 2.1544
-1.8823 5.3910 8.3857
Pm Pr Th
7 12 1
direct
0.5000 0.5000 0.0000
0.0000 0.5000 0.5000
0.5000 0.0000 0.5000
0.5000 0.5000 0.5000
0.0000 0.0000 0.5000
0.5000 0.0000 0.0000
0.0000 0.5000 0.0000
0.5176 0.7575 0.7601
0.9974 0.7575 0.2399
0.4824 0.2425 0.2399
0.0026 0.2425 0.7601
0.7601 0.0026 0.2425
0.7601 0.5176 0.7575
0.2399 0.9974 0.7575
0.2399 0.4824 0.2425
0.7575 0.7601 0.5176
0.2425 0.2399 0.4824
0.7575 0.2399 0.9974
0.2425 0.7601 0.0026
0.0000 0.0000 0.0000
```

Summary:
- M_tot: 0.000 μB per atom
- Volume: 40.19 Å³ per atom
- Symmetry: Im-3 (204)
- E_form: 0.6423 eV per atom
- Calculated density: 6069 kg/m³
- DOS at the Fermi energy: 30.458 states/eV/f.u.

Entry 3:
VASP calculation (GGA-PBE) on an optimized crystal structure of Pm2PrTh.

POSCAR file:
```
Pm2PrTh
1.0
-1.4470 -2.4519 2.2781
-0.1683 -0.5367 -3.6026
20.7277 -11.5354 0.7499
Pm Pr Th
4 2 2
direct
0.3333 0.6667 0.3792
0.6667 0.3333 0.6208
0.6667 0.3333 0.8792
0.3333 0.6667 0.1208
0.3333 0.6667 0.7500
0.6667 0.3333 0.2500
0.0000 0.0000 0.5000
0.0000 0.0000 0.0000
```

Summary:
- M_tot: 0.000 μB per atom
- Volume: 34.16 Å³ per atom
- Symmetry: P6_3/mmc (194)
- E_form: 0.0208 eV per atom
- Calculated density: 8057 kg/m³
- DOS at the Fermi energy: 5.043 states/eV/f.u.

Entry 4:
VASP calculation (GGA-PBE) on an optimized crystal structure of PmPrTh2.

POSCAR file:
```
PmPrTh2
1.0
-3.0451 1.1622 1.3834
-1.7639 -2.0003 2.3291
4.7339 5.1060 10.6618
Pr Th Pm
1 2 1
direct
0.0000 0.0000 0.0000
0.0879 0.0879 0.7363
0.9121 0.9121 0.2637
0.5000 0.5000 0.5000
```

Summary:
- M_tot: 0.000 μB per atom
- Volume: 34.12 Å³ per atom
- Symmetry: R-3m (166)
- E_form: 0.2185 eV per atom
- Calculated density: 9126 kg/m³
- DOS at the Fermi energy: 6.314 states/eV/f.u.

Entry 5:
VASP calculation (GGA-PBE) on an optimized crystal structure of PmPrTh2.

POSCAR file:
```
PmPrTh2
1.0
-5.0629 -0.0076 0.5088
-0.4088 -3.0197 -4.1135
5.6594 -8.3389 5.5592
Pm Pr Th
2 2 4
direct
0.8621 0.7500 0.3629
0.1379 0.2500 0.6371
0.3626 0.2500 0.3636
0.6374 0.7500 0.6364
0.6167 0.2500 0.1167
0.3833 0.7500 0.8833
0.1176 0.7500 0.1177
0.8824 0.2500 0.8823
```

Summary:
- M_tot: 0.000 μB per atom
- Volume: 33.66 Å³ per atom
- Symmetry: P2_1/m (11)
- E_form: 0.0301 eV per atom
- Calculated density: 9251 kg/m³
- DOS at the Fermi energy: 6.767 states/eV/f.u.

Entry 6:
VASP calculation (GGA-PBE) on an optimized crystal structure of PmPrTh.

POSCAR file:
```
PmPrTh
1.0
3.5746 -0.6762 0.0025
0.6762 3.5746 0.0025
-0.0163 -0.0111 15.5471
Pm Pr Th
2 2 2
direct
0.3179 0.3179 0.5125
0.8180 0.8180 0.9903
0.3175 0.3175 0.1660
0.8175 0.8175 0.3368
0.8182 0.8182 0.6743
0.3182 0.3182 0.8284
```

Summary:
- M_tot: 0.000 μB per atom
- Volume: 34.29 Å³ per atom
- Symmetry: P4/nmm (129)
- E_form: 0.0212 eV per atom
- Calculated density: 8360 kg/m³
- DOS at the Fermi energy: 4.261 states/eV/f.u.

Entry 7:
VASP calculation (GGA-PBE) on an optimized crystal structure of Pm12PrTh5.

POSCAR file:
```
Pm12PrTh5
1.0
-10.8144 0.7251 0.8354
-5.7699 -8.5939 3.4906
0.4757 -0.1487 6.2768
Pm Pr Th
12 1 5
direct
0.8346 0.0002 0.4998
0.1654 0.9998 0.5002
0.6594 0.9999 0.0000
0.3406 0.0001 0.0000
0.3332 0.6626 0.0010
0.0045 0.6627 0.0007
0.9955 0.3373 0.9993
0.6669 0.3374 0.9990
0.4963 0.3333 0.4995
0.8302 0.6667 0.5006
0.1699 0.3333 0.4994
0.5037 0.6667 0.5005
0.0000 0.0000 0.0000
0.5000 0.0000 0.5000
0.1694 0.6614 0.5105
0.8306 0.3386 0.4895
0.6662 0.6679 0.0005
0.3338 0.3321 0.9995
```

Summary:
- M_tot: 0.000 μB per atom
- Volume: 33.85 Å³ per atom
- Symmetry: C2/m (12)
- E_form: 0.0613 eV per atom
- Calculated density: 8288 kg/m³
- DOS at the Fermi energy: 28.737 states/eV/f.u.

Entry 8:
VASP calculation (GGA-PBE) on an optimized crystal structure of Pm9Pr2Th.

POSCAR file:
```
Pm9Pr2Th
1.0
-3.2545 3.6962 1.5576
-3.4923 -3.5979 1.2407
5.9220 -0.8147 14.3066
Pm Pr Th
9 2 1
direct
0.5000 0.5000 0.0000
0.5000 0.5000 0.3330
0.5000 0.5000 0.6670
0.5000 0.0000 0.1621
0.5000 0.0000 0.5000
0.5000 0.0000 0.8379
0.0000 0.5000 0.1621
0.0000 0.5000 0.5000
0.0000 0.5000 0.8379
0.0000 0.0000 0.3321
0.0000 0.0000 0.6679
0.0000 0.0000 0.0000
```

Summary:
- M_tot: 0.000 μB per atom
- Volume: 34.47 Å³ per atom
- Symmetry: P4/mmm (123)
- E_form: 0.0249 eV per atom
- Calculated density: 7301 kg/m³
- DOS at the Fermi energy: 17.988 states/eV/f.u.